The following is a DFT calculation (GGA-PBE) of Tb4Y4Ho3 after structural relaxation.

- Formation energy from the elements: 191.3 meV per atom
- Energy above the most stable polymorph in this dataset: 134 meV/atom

Lattice parameters (Å, degrees): 10.868 10.868 10.868 161.30 117.76 65.61
Positions (direct):
Tb 0.071 0.830 0.241
Tb 0.411 0.170 0.241
Tb 0.589 0.830 0.759
Tb 0.929 0.170 0.759
Y 0.224 0.724 0.500
Y 0.291 0.000 0.291
Y 0.709 0.000 0.709
Y 0.776 0.276 0.500
Ho 0.000 0.500 0.500
Ho 0.393 0.393 0.000
Ho 0.607 0.607 0.000



The following is a DFT calculation (GGA-PBE) of Tb7Tl4H after structural relaxation.

Lattice parameters (Å, degrees): 8.457 8.457 11.010 127.03 127.03 35.31
Positions (direct):
Tb 0.000 0.000 0.000
Tb 0.139 0.139 0.564
Tb 0.286 0.286 0.143
Tb 0.436 0.436 0.740
Tb 0.564 0.564 0.260
Tb 0.714 0.714 0.857
Tb 0.861 0.861 0.436
Tl 0.078 0.078 0.790
Tl 0.220 0.220 0.354
Tl 0.780 0.780 0.646
Tl 0.922 0.922 0.210
H 0.500 0.500 0.000



| no. | energy (eV per atom) | N(E_F) (states/eV/atom) |
| --- | --- | --- |
| 1 | -5.09 | 1.444 |
| 2 | -3.92 | 1.055 |